P.
## ZrCrSb2Te (PBE-GGA)

Data for an optimized crystal structure of ZrCrSb2Te.

N(E_F) ... 5.51 states/eV per cell
Calculated volume ... 133.7 Å³ per cell

Geometry as CIF:
```
data_ZrCrSb2Te
_chemical_formula_sum 'Zr1 Cr1 Sb2 Te1'
_cell_length_a 5.0127
_cell_length_b 5.0127
_cell_length_c 5.3197
_cell_angle_alpha 90.00
_cell_angle_beta 90.00
_cell_angle_gamma 90.00
_space_group_name_H-M_alt 'P 1'
_space_group_IT_number 1
loop_
_space_group_symop_operation_xyz
'x,y,z'
loop_
_atom_site_label
_atom_site_fract_x
_atom_site_fract_y
_atom_site_fract_z
Zr1 0.0000 0.0000 0.0000
Cr1 0.5000 0.5000 0.5000
Sb1 0.0000 0.5000 0.5000
Sb2 0.5000 0.0000 0.5000
Te1 0.5000 0.5000 0.0000
```

---

Q.
## ZrCrSb2Te (PBE-GGA)

Data for an optimized crystal structure of ZrCrSb2Te.

N(E_F) ... 8.23 states/eV per cell
Calculated volume ... 168.1 Å³ per cell

Geometry as CIF:
```
data_ZrCrSb2Te
_chemical_formula_sum 'Zr1 Cr1 Sb2 Te1'
_cell_length_a 5.5423
_cell_length_b 5.5423
_cell_length_c 5.4710
_cell_angle_alpha 90.00
_cell_angle_beta 90.00
_cell_angle_gamma 90.00
_space_group_name_H-M_alt 'P 1'
_space_group_IT_number 1
loop_
_space_group_symop_operation_xyz
'x,y,z'
loop_
_atom_site_label
_atom_site_fract_x
_atom_site_fract_y
_atom_site_fract_z
Zr1 0.0000 0.0000 0.0000
Cr1 0.5000 0.5000 0.5000
Sb1 0.0000 0.5000 0.0000
Sb2 0.5000 0.0000 0.0000
Te1 0.0000 0.0000 0.5000
```

---

P is favored, and the nearest alternative lies 58.2 kJ/mol of atoms above it.

---

P.
## ZrCrSbTe2 (PBE-GGA)

Data for an optimized crystal structure of ZrCrSbTe2.

N(E_F) ... 4.54 states/eV per cell
Calculated volume ... 136.6 Å³ per cell

Geometry as CIF:
```
data_ZrCrSbTe2
_chemical_formula_sum 'Zr1 Cr1 Sb1 Te2'
_cell_length_a 5.1957
_cell_length_b 5.1957
_cell_length_c 5.0618
_cell_angle_alpha 90.00
_cell_angle_beta 90.00
_cell_angle_gamma 90.00
_space_group_name_H-M_alt 'P 1'
_space_group_IT_number 1
loop_
_space_group_symop_operation_xyz
'x,y,z'
loop_
_atom_site_label
_atom_site_fract_x
_atom_site_fract_y
_atom_site_fract_z
Zr1 0.0000 0.0000 0.0000
Cr1 0.5000 0.5000 0.5000
Sb1 0.5000 0.5000 0.0000
Te1 0.0000 0.5000 0.5000
Te2 0.5000 0.0000 0.5000
```

---

Q.
## ZrCrSbTe2 (PBE-GGA)

Data for an optimized crystal structure of ZrCrSbTe2.

N(E_F) ... 4.17 states/eV per cell
Calculated volume ... 173.6 Å³ per cell

Geometry as CIF:
```
data_ZrCrSbTe2
_chemical_formula_sum 'Zr1 Cr1 Sb1 Te2'
_cell_length_a 5.5753
_cell_length_b 5.5753
_cell_length_c 5.5842
_cell_angle_alpha 90.00
_cell_angle_beta 90.00
_cell_angle_gamma 90.00
_space_group_name_H-M_alt 'P 1'
_space_group_IT_number 1
loop_
_space_group_symop_operation_xyz
'x,y,z'
loop_
_atom_site_label
_atom_site_fract_x
_atom_site_fract_y
_atom_site_fract_z
Zr1 0.0000 0.0000 0.0000
Cr1 0.5000 0.5000 0.5000
Sb1 0.0000 0.0000 0.5000
Te1 0.0000 0.5000 0.0000
Te2 0.5000 0.0000 0.0000
```

---

Q is favored, and the nearest alternative lies 1.2 kJ/mol of atoms above it.